Entry 1:
VASP calculation (PBE-GGA) on NbSb2OF after structural relaxation.

Cell lengths 4.999, 4.999, 4.064 Å; angles 90.00, 90.00, 90.00 degrees
Fractional positions:
Nb1 0.000 0.000 0.000
Sb1 0.000 0.500 0.500
Sb2 0.500 0.000 0.500
O1 0.500 0.500 0.000
F1 0.000 0.000 0.500

Results
V   102 Å³/cell
Total magnetic moment   0.02 μB/atom
Energy relative to the elements, uncorrected   38 kJ/mol of atoms
SG   No. 123


Entry 2:
VASP calculation (PBE-GGA) on Ag2S6Br after structural relaxation.

Cell lengths 4.416, 6.450, 9.513 Å; angles 90.90, 95.76, 98.76 degrees
Fractional positions:
Ag1 0.089 0.012 0.189
Ag2 0.911 0.988 0.811
S1 0.034 0.338 0.693
S2 0.058 0.721 0.653
S3 0.238 0.257 0.522
S4 0.762 0.743 0.478
S5 0.942 0.279 0.347
S6 0.966 0.662 0.307
Br1 0.500 0.000 0.000

Results
V   266 Å³/cell
Total magnetic moment   0.00 μB/atom
Energy relative to the elements, uncorrected   7 kJ/mol of atoms
SG   No. 2


Entry 3:
VASP calculation (PBE-GGA) on Co2Re5B4 after structural relaxation.

Cell lengths 5.392, 5.392, 8.069 Å; angles 90.00, 90.00, 90.14 degrees
Fractional positions:
Co1 0.000 0.500 0.500
Co2 0.159 0.841 0.000
Co3 0.500 0.000 0.500
Co4 0.841 0.159 0.000
Re1 0.174 0.174 0.284
Re2 0.174 0.174 0.716
Re3 0.323 0.677 0.282
Re4 0.323 0.677 0.718
Re5 0.336 0.336 0.000
Re6 0.664 0.664 0.000
Re7 0.677 0.323 0.282
Re8 0.677 0.323 0.718
Re9 0.826 0.826 0.284
Re10 0.826 0.826 0.716
B1 0.000 0.500 0.132
B2 0.000 0.500 0.868
B3 0.123 0.877 0.500
B4 0.379 0.379 0.500
B5 0.500 0.000 0.132
B6 0.500 0.000 0.868
B7 0.621 0.621 0.500
B8 0.877 0.123 0.500

Results
Energy of formation from the pure elements   -0.223 eV per atom
V   235 Å³/cell
Total magnetic moment   0.07 μB/atom
SG   No. 65


Entry 4:
VASP calculation (PBE-GGA) on La2Sm2Tm after structural relaxation.

Cell lengths 16.872, 16.872, 16.872 Å; angles 167.76, 160.30, 23.26 degrees
Fractional positions:
La1 0.042 0.292 0.750
La2 0.437 0.187 0.250
La3 0.563 0.813 0.750
La4 0.958 0.708 0.250
Sm1 0.133 0.883 0.250
Sm2 0.229 0.979 0.250
Sm3 0.771 0.021 0.750
Sm4 0.867 0.117 0.750
Tm1 0.324 0.574 0.750
Tm2 0.676 0.426 0.250

Results
Energy of formation from the pure elements   0.127 eV per atom
V   343 Å³/cell
Total magnetic moment   0.00 μB/atom
SG   No. 74
Energy above the lowest structure with this stoichiometry   5 meV/atom


Entry 5:
VASP calculation (PBE-GGA) on PrHgS after structural relaxation.

Cell lengths 8.364, 8.364, 8.364 Å; angles 33.90, 33.90, 33.90 degrees
Fractional positions:
Pr1 0.093 0.093 0.093
Pr2 0.907 0.907 0.907
Hg1 0.344 0.344 0.344
Hg2 0.656 0.656 0.656
S1 0.214 0.214 0.214
S2 0.786 0.786 0.786

Results
V   162 Å³/cell
Total magnetic moment   0.00 μB/atom
Energy relative to the elements, uncorrected   -117 kJ/mol of atoms
SG   No. 166


Entry 6:
VASP calculation (PBE-GGA) on Ba3TiPt after structural relaxation.

Cell lengths 6.176, 6.176, 6.176 Å; angles 90.00, 90.00, 90.00 degrees
Fractional positions:
Ba1 0.000 0.000 0.500
Ba2 0.000 0.500 0.000
Ba3 0.500 0.000 0.000
Ti1 0.500 0.500 0.500
Pt1 0.000 0.000 0.000

Results
Energy of formation from the pure elements   0.178 eV per atom
V   236 Å³/cell
Total magnetic moment   0.64 μB/atom
SG   No. 221
Energy above the lowest structure with this stoichiometry   0 meV/atom


Entry 7:
VASP calculation (PBE-GGA) on LaIn2ReO8 after structural relaxation.

Cell lengths 4.969, 4.969, 6.831 Å; angles 90.00, 90.00, 90.01 degrees
Fractional positions:
La1 0.000 0.000 0.000
In1 0.500 0.500 0.253
In2 0.500 0.500 0.747
Re1 0.000 0.000 0.500
O1 0.186 0.814 0.303
O2 0.186 0.814 0.697
O3 0.280 0.280 0.500
O4 0.317 0.317 0.000
O5 0.683 0.683 0.000
O6 0.720 0.720 0.500
O7 0.814 0.186 0.303
O8 0.814 0.186 0.697

Results
V   169 Å³/cell
Total magnetic moment   0.00 μB/atom
Energy relative to the elements, uncorrected   -183 kJ/mol of atoms
SG   No. 65


Entry 8:
VASP calculation (PBE-GGA) on La4MgAg after structural relaxation.

Cell lengths 3.733, 5.389, 9.363 Å; angles 90.00, 90.32, 90.00 degrees
Fractional positions:
La1 0.000 0.000 0.000
La2 0.010 0.500 0.458
La3 0.420 0.500 0.104
La4 0.456 0.000 0.687
Mg1 0.543 0.000 0.322
Ag1 0.906 0.500 0.800

Results
Energy of formation from the pure elements   -0.046 eV per atom
V   188 Å³/cell
Total magnetic moment   0.00 μB/atom
SG   No. 6
Energy above the lowest structure with this stoichiometry   59 meV/atom